Version one
This record from Alexandria via LeMat-Bulk describes a geometry-optimized MnNiNF2 structure. The functional is GGA+U. Values from VASP.

Results
* space group: P4/mmm, No. 123
* M_tot: 1.20 μB per atom
* V: 59.4 Å³/cell

```
&SYSTEM
  ibrav = 0, nat = 5, ntyp = 4
/
ATOMIC_SPECIES
Ni 58.69 Ni.upf
N 14.01 N.upf
Mn 54.94 Mn.upf
F 19.00 F.upf
CELL_PARAMETERS angstrom
-0.878 -2.159 2.987
3.638 -1.001 0.346
0.646 3.218 2.516
ATOMIC_POSITIONS angstrom
Ni 0.000 0.000 0.000
N 0.323 1.609 1.258
Mn 1.703 0.029 2.925
F 1.819 -0.500 0.173
F -0.439 -1.080 1.494
```


Version two
This record from Alexandria via LeMat-Bulk describes a geometry-optimized MnNiNF2 structure. The functional is GGA+U. Values from VASP.

Results
* space group: P4/mmm, No. 123
* M_tot: 0.80 μB per atom
* V: 62.8 Å³/cell

```
&SYSTEM
  ibrav = 0, nat = 5, ntyp = 4
/
ATOMIC_SPECIES
Ni 58.69 Ni.upf
N 14.01 N.upf
Mn 54.94 Mn.upf
F 19.00 F.upf
CELL_PARAMETERS angstrom
-2.581 3.028 -0.825
-1.806 -0.560 3.596
2.402 2.481 1.592
ATOMIC_POSITIONS angstrom
Ni -0.992 2.475 2.182
N 1.201 1.241 0.796
Mn 0.000 0.000 0.000
F -0.903 -0.280 1.798
F -1.290 1.514 -0.412
```


The data favor version one; the next most stable structure lies 14.3 kJ/mol of atoms above it.


Version one
This record from Alexandria via LeMat-Bulk describes a geometry-optimized MnOsNF2 structure. The functional is GGA+U. Values from VASP.

Results
* space group: P4/mmm, No. 123
* M_tot: 1.05 μB per atom
* V: 70.8 Å³/cell

```
&SYSTEM
  ibrav = 0, nat = 5, ntyp = 4
/
ATOMIC_SPECIES
N 14.01 N.upf
Mn 54.94 Mn.upf
Os 190.23 Os.upf
F 19.00 F.upf
CELL_PARAMETERS angstrom
4.330 0.000 0.000
0.000 4.330 0.000
0.000 0.000 3.774
ATOMIC_POSITIONS angstrom
N 0.000 0.000 1.887
Mn 2.165 2.165 1.887
Os 0.000 0.000 0.000
F 0.000 2.165 0.000
F 2.165 0.000 0.000
```


Version two
This record from Alexandria via LeMat-Bulk describes a geometry-optimized MnOsNF2 structure. The functional is GGA+U. Values from VASP.

Results
* space group: P4/mmm, No. 123
* M_tot: 1.56 μB per atom
* V: 66.6 Å³/cell

```
&SYSTEM
  ibrav = 0, nat = 5, ntyp = 4
/
ATOMIC_SPECIES
N 14.01 N.upf
Mn 54.94 Mn.upf
Os 190.23 Os.upf
F 19.00 F.upf
CELL_PARAMETERS angstrom
3.755 0.000 0.000
0.000 3.755 0.000
0.000 0.000 4.723
ATOMIC_POSITIONS angstrom
N 0.000 0.000 2.362
Mn 0.000 0.000 0.000
Os 1.878 1.878 2.362
F 0.000 1.878 0.000
F 1.878 0.000 0.000
```


The data favor version one; the next most stable structure lies 51.8 kJ/mol of atoms above it.


Version one
This record from Alexandria via LeMat-Bulk describes a geometry-optimized MnOsN2F structure. The functional is GGA+U. Values from VASP.

Results
* space group: P4/mmm, No. 123
* M_tot: 0.96 μB per atom
* V: 64.9 Å³/cell

```
&SYSTEM
  ibrav = 0, nat = 5, ntyp = 4
/
ATOMIC_SPECIES
N 14.01 N.upf
Mn 54.94 Mn.upf
Os 190.23 Os.upf
F 19.00 F.upf
CELL_PARAMETERS angstrom
3.825 0.000 0.000
0.000 3.825 0.000
0.000 0.000 4.438
ATOMIC_POSITIONS angstrom
N 0.000 1.912 0.000
N 1.912 0.000 0.000
Mn 1.912 1.912 2.219
Os 0.000 0.000 0.000
F 0.000 0.000 2.219
```


Version two
This record from Alexandria via LeMat-Bulk describes a geometry-optimized MnOsN2F structure. The functional is GGA+U. Values from VASP.

Results
* space group: P4/mmm, No. 123
* M_tot: 1.11 μB per atom
* V: 56.2 Å³/cell

```
&SYSTEM
  ibrav = 0, nat = 5, ntyp = 4
/
ATOMIC_SPECIES
N 14.01 N.upf
Mn 54.94 Mn.upf
Os 190.23 Os.upf
F 19.00 F.upf
CELL_PARAMETERS angstrom
-2.313 -1.348 -2.886
3.069 -1.899 -1.573
-0.787 -2.926 1.998
ATOMIC_POSITIONS angstrom
N 1.534 -0.950 -0.786
N -1.157 -0.674 -1.443
Mn 0.000 0.000 0.000
Os -0.016 -3.087 -1.230
F -0.393 -1.463 0.999
```


The data favor version one; the next most stable structure lies 92.2 kJ/mol of atoms above it.


Version one
This record from Alexandria via LeMat-Bulk describes a geometry-optimized MnPN2F structure. The functional is GGA+U. Values from VASP.

Results
* space group: P4/mmm, No. 123
* M_tot: 0.99 μB per atom
* V: 49.9 Å³/cell

```
&SYSTEM
  ibrav = 0, nat = 5, ntyp = 4
/
ATOMIC_SPECIES
P 30.97 P.upf
N 14.01 N.upf
Mn 54.94 Mn.upf
F 19.00 F.upf
CELL_PARAMETERS angstrom
-1.130 -3.330 -0.116
3.196 -1.049 -1.031
1.079 -0.500 3.856
ATOMIC_POSITIONS angstrom
P 0.000 0.000 0.000
N 1.598 -0.525 -0.515
N -0.565 -1.665 -0.058
Mn 1.572 -2.440 1.355
F 0.540 -0.250 1.928
```


Version two
This record from Alexandria via LeMat-Bulk describes a geometry-optimized MnPN2F structure. The functional is GGA+U. Values from VASP.

Results
* space group: P4/mmm, No. 123
* M_tot: 0.60 μB per atom
* V: 58.4 Å³/cell

```
&SYSTEM
  ibrav = 0, nat = 5, ntyp = 4
/
ATOMIC_SPECIES
P 30.97 P.upf
N 14.01 N.upf
Mn 54.94 Mn.upf
F 19.00 F.upf
CELL_PARAMETERS angstrom
3.940 0.000 0.000
0.000 3.940 0.000
0.000 0.000 3.760
ATOMIC_POSITIONS angstrom
P 1.970 1.970 1.880
N 0.000 1.970 0.000
N 1.970 0.000 0.000
Mn 0.000 0.000 0.000
F 0.000 0.000 1.880
```


The data favor version one; the next most stable structure lies 67.3 kJ/mol of atoms above it.


Version one
This record from Alexandria via LeMat-Bulk describes a geometry-optimized MnPNF2 structure. The functional is GGA+U. Values from VASP.

Results
* space group: P4/mmm, No. 123
* M_tot: 1.03 μB per atom
* V: 67.2 Å³/cell

```
&SYSTEM
  ibrav = 0, nat = 5, ntyp = 4
/
ATOMIC_SPECIES
P 30.97 P.upf
N 14.01 N.upf
Mn 54.94 Mn.upf
F 19.00 F.upf
CELL_PARAMETERS angstrom
4.508 0.000 0.000
0.000 4.508 0.000
0.000 0.000 3.309
ATOMIC_POSITIONS angstrom
P 0.000 0.000 0.000
N 0.000 0.000 1.655
Mn 2.254 2.254 1.655
F 0.000 2.254 0.000
F 2.254 0.000 0.000
```


Version two
This record from Alexandria via LeMat-Bulk describes a geometry-optimized MnPNF2 structure. The functional is GGA+U. Values from VASP.

Results
* space group: P4/mmm, No. 123
* M_tot: 1.00 μB per atom
* V: 65.1 Å³/cell

```
&SYSTEM
  ibrav = 0, nat = 5, ntyp = 4
/
ATOMIC_SPECIES
P 30.97 P.upf
N 14.01 N.upf
Mn 54.94 Mn.upf
F 19.00 F.upf
CELL_PARAMETERS angstrom
3.824 0.000 0.000
0.000 3.824 0.000
0.000 0.000 4.450
ATOMIC_POSITIONS angstrom
P 1.912 1.912 2.225
N 0.000 0.000 2.225
Mn 0.000 0.000 0.000
F 0.000 1.912 0.000
F 1.912 0.000 0.000
```


The data favor version one; the next most stable structure lies 16.4 kJ/mol of atoms above it.


Version one
This record from Alexandria via LeMat-Bulk describes a geometry-optimized MnPdN2F structure. The functional is GGA+U. Values from VASP.

Results
* space group: P4/mmm, No. 123
* M_tot: 0.00 μB per atom
* V: 53.1 Å³/cell

```
&SYSTEM
  ibrav = 0, nat = 5, ntyp = 4
/
ATOMIC_SPECIES
N 14.01 N.upf
Mn 54.94 Mn.upf
Pd 106.42 Pd.upf
F 19.00 F.upf
CELL_PARAMETERS angstrom
-1.032 -2.869 2.080
2.564 0.891 2.501
-2.583 2.264 1.842
ATOMIC_POSITIONS angstrom
N 1.282 0.445 1.250
N -0.516 -1.434 1.040
Mn 0.000 0.000 0.000
Pd -0.526 0.143 3.211
F -1.292 1.132 0.921
```


Version two
This record from Alexandria via LeMat-Bulk describes a geometry-optimized MnPdN2F structure. The functional is GGA+U. Values from VASP.

Results
* space group: P4/mmm, No. 123
* M_tot: 0.66 μB per atom
* V: 66.1 Å³/cell

```
&SYSTEM
  ibrav = 0, nat = 5, ntyp = 4
/
ATOMIC_SPECIES
N 14.01 N.upf
Mn 54.94 Mn.upf
Pd 106.42 Pd.upf
F 19.00 F.upf
CELL_PARAMETERS angstrom
3.961 0.000 0.000
0.000 3.961 0.000
0.000 0.000 4.214
ATOMIC_POSITIONS angstrom
N 0.000 1.980 0.000
N 1.980 0.000 0.000
Mn 1.980 1.980 2.107
Pd 0.000 0.000 0.000
F 0.000 0.000 2.107
```


The data favor version one; the next most stable structure lies 51.7 kJ/mol of atoms above it.